(1)
# PBE-GGA Y2ScBPb, optimized geometry
data_Y2ScBPb
_chemical_formula_sum 'Y2 Sc1 B1 Pb1'
_cell_length_a 5.0362
_cell_length_b 5.0362
_cell_length_c 4.7510
_cell_angle_alpha 90.00
_cell_angle_beta 90.00
_cell_angle_gamma 90.00
_symmetry_space_group_name_H-M 'P 4/m m m'
_symmetry_Int_Tables_number 123
_symmetry_space_group_name_Hall '-P 4 2'
loop_
_atom_site_label
_atom_site_fract_x
_atom_site_fract_y
_atom_site_fract_z
_atom_site_occupancy
Y1 0.0000 0.5000 0.0000 1
Sc1 0.0000 0.0000 0.5000 1
B1 0.0000 0.0000 0.0000 1
Pb1 0.5000 0.5000 0.5000 1
# * energy relative to the elements: -0.46 eV per atom
# * magnetization: 0.00 μB per formula unit
# * calculated volume: 120.5 Å³/f.u.

=====

(2)
# PBE-GGA TlSbOs2, optimized geometry
data_TlSbOs2
_chemical_formula_sum 'Tl1 Sb1 Os2'
_cell_length_a 2.9515
_cell_length_b 2.9515
_cell_length_c 9.5561
_cell_angle_alpha 90.00
_cell_angle_beta 90.00
_cell_angle_gamma 90.00
_symmetry_space_group_name_H-M 'P 4 m m'
_symmetry_Int_Tables_number 99
loop_
_symmetry_equiv_pos_as_xyz
'x,y,z'
'-y,x,z'
'-x,-y,z'
'y,-x,z'
'-x,y,z'
'y,x,z'
'x,-y,z'
'-y,-x,z'
loop_
_atom_site_label
_atom_site_fract_x
_atom_site_fract_y
_atom_site_fract_z
_atom_site_occupancy
Tl1 0.0000 0.0000 0.0000 1
Sb1 0.5000 0.5000 0.6349 1
Os1 0.0000 0.0000 0.4197 1
Os2 0.5000 0.5000 0.2531 1
# * magnetization: 0.00 μB per formula unit
# * calculated volume: 83.2 Å³/f.u.
# * formation energy (no corrections): 497 meV per atom
# * excess energy over the best structure of this formula in the dataset: 28.5 meV/atom

=====

(3)
# PBE-GGA Cs2LaPdF6, optimized geometry
data_Cs2LaPdF6
_chemical_formula_sum 'Cs4 La2 Pd2 F12'
_cell_length_a 6.4490
_cell_length_b 6.4490
_cell_length_c 10.9634
_cell_angle_alpha 90.00
_cell_angle_beta 90.00
_cell_angle_gamma 90.00
_symmetry_space_group_name_H-M 'I 4/m m m'
_symmetry_Int_Tables_number 139
_symmetry_space_group_name_Hall '-I 4 2'
loop_
_atom_site_label
_atom_site_fract_x
_atom_site_fract_y
_atom_site_fract_z
_atom_site_occupancy
Cs1 0.0000 0.5000 0.2500 1
La1 0.0000 0.0000 0.0000 1
Pd1 0.0000 0.0000 0.5000 1
F1 0.0000 0.0000 0.2100 1
F2 0.2454 0.2454 0.5000 1
# * magnetization: 1.00 μB per formula unit
# * calculated volume: 228.0 Å³/f.u.
# * formation energy (no corrections): -2816 meV per atom

=====

(4)
# PBE-GGA Y3TmTc, optimized geometry
data_Y3TmTc
_chemical_formula_sum 'Y12 Tm4 Tc4'
_cell_length_a 12.0323
_cell_length_b 3.9041
_cell_length_c 12.8295
_cell_angle_alpha 90.00
_cell_angle_beta 112.73
_cell_angle_gamma 90.00
_symmetry_space_group_name_H-M 'C 1 m 1'
_symmetry_Int_Tables_number 8
loop_
_symmetry_equiv_pos_as_xyz
'x,y,z'
'x,-y,z'
'x+1/2,y+1/2,z'
'x+1/2,-y+1/2,z'
loop_
_atom_site_label
_atom_site_fract_x
_atom_site_fract_y
_atom_site_fract_z
_atom_site_occupancy
Y1 0.0000 0.0000 0.0000 1
Y2 0.0238 0.0000 0.3776 1
Y3 0.1806 0.5000 0.2388 1
Y4 0.2987 0.5000 0.5211 1
Y5 0.3283 0.0000 0.7633 1
Y6 0.3531 0.0000 0.1360 1
Tm1 0.0518 0.5000 0.6203 1
Tm2 0.1713 0.5000 0.8986 1
Tc1 0.9999 0.0000 0.7654 1
Tc2 0.3563 0.0000 0.3760 1
# * energy relative to the elements: -0.07 eV per atom
# * magnetization: 0.00 μB per formula unit
# * calculated volume: 139.0 Å³/f.u.

=====

(5)
# PBE-GGA Na2TlGa2, optimized geometry
data_Na2TlGa2
_chemical_formula_sum 'Na4 Tl2 Ga4'
_cell_length_a 7.3062
_cell_length_b 7.3062
_cell_length_c 4.8312
_cell_angle_alpha 90.00
_cell_angle_beta 90.00
_cell_angle_gamma 90.00
_symmetry_space_group_name_H-M 'P 4/m b m'
_symmetry_Int_Tables_number 127
_symmetry_space_group_name_Hall '-P 4 2ab'
loop_
_atom_site_label
_atom_site_fract_x
_atom_site_fract_y
_atom_site_fract_z
_atom_site_occupancy
Na1 0.1751 0.3249 0.0000 1
Tl1 0.0000 0.0000 0.5000 1
Ga1 0.1235 0.6235 0.5000 1
# * energy relative to the elements: -0.03 eV per atom
# * magnetization: 0.00 μB per formula unit
# * calculated volume: 128.9 Å³/f.u.
# * excess energy over the best structure of this formula in the dataset: 0.0 meV/atom

=====

(6)
# PBE-GGA ReAg2Cl, optimized geometry
data_ReAg2Cl
_chemical_formula_sum 'Re4 Ag8 Cl4'
_cell_length_a 6.6779
_cell_length_b 6.6779
_cell_length_c 6.6779
_cell_angle_alpha 90.00
_cell_angle_beta 90.00
_cell_angle_gamma 90.00
_symmetry_space_group_name_H-M 'F -4 3 m'
_symmetry_Int_Tables_number 216
_symmetry_space_group_name_Hall 'F -4 2 3'
loop_
_atom_site_label
_atom_site_fract_x
_atom_site_fract_y
_atom_site_fract_z
_atom_site_occupancy
Re1 0.0000 0.0000 0.0000 1
Ag1 0.0000 0.0000 0.5000 1
Ag2 0.2500 0.2500 0.7500 1
Cl1 0.2500 0.2500 0.2500 1
# * magnetization: 3.74 μB per formula unit
# * calculated volume: 74.4 Å³/f.u.
# * formation energy (no corrections): 1160 meV per atom
# * excess energy over the best structure of this formula in the dataset: 769.8 meV/atom

=====

(7)
# PBE-GGA Cr2TcBr, optimized geometry
data_Cr2TcBr
_chemical_formula_sum 'Cr4 Tc2 Br2'
_cell_length_a 5.5340
_cell_length_b 7.2433
_cell_length_c 2.9804
_cell_angle_alpha 90.00
_cell_angle_beta 90.00
_cell_angle_gamma 90.00
_symmetry_space_group_name_H-M 'C m m m'
_symmetry_Int_Tables_number 65
_symmetry_space_group_name_Hall '-C 2 2'
loop_
_atom_site_label
_atom_site_fract_x
_atom_site_fract_y
_atom_site_fract_z
_atom_site_occupancy
Cr1 0.2500 0.2500 0.0000 1
Tc1 0.0000 0.0000 0.5000 1
Br1 0.0000 0.5000 0.5000 1
# * magnetization: 4.07 μB per formula unit
# * calculated volume: 59.7 Å³/f.u.
# * formation energy (no corrections): 814 meV per atom
# * excess energy over the best structure of this formula in the dataset: 322.5 meV/atom

=====

(8)
# PBE-GGA Cs3RbI2O8, optimized geometry
data_Cs3RbI2O8
_chemical_formula_sum 'Cs3 Rb1 I2 O8'
_cell_length_a 6.8079
_cell_length_b 6.8079
_cell_length_c 8.7598
_cell_angle_alpha 90.00
_cell_angle_beta 90.00
_cell_angle_gamma 120.00
_symmetry_space_group_name_H-M 'P -3 m 1'
_symmetry_Int_Tables_number 164
_symmetry_space_group_name_Hall '-P 3 2"'
loop_
_atom_site_label
_atom_site_fract_x
_atom_site_fract_y
_atom_site_fract_z
_atom_site_occupancy
Cs1 0.0000 0.0000 0.0000 1
Cs2 0.3333 0.6667 0.6620 1
Rb1 0.0000 0.0000 0.5000 1
I1 0.3333 0.6667 0.2067 1
O1 0.1885 0.3770 0.2962 1
O2 0.3333 0.6667 0.9891 1
# * magnetization: 2.00 μB per formula unit
# * calculated volume: 351.6 Å³/f.u.
# * formation energy (no corrections): -949 meV per atom

=====

(9)
# PBE-GGA Zn2Ni6N, optimized geometry
data_Zn2Ni6N
_chemical_formula_sum 'Zn4 Ni12 N2'
_cell_length_a 5.1778
_cell_length_b 5.1778
_cell_length_c 7.2910
_cell_angle_alpha 90.00
_cell_angle_beta 90.00
_cell_angle_gamma 90.00
_symmetry_space_group_name_H-M 'I 4/m m m'
_symmetry_Int_Tables_number 139
_symmetry_space_group_name_Hall '-I 4 2'
loop_
_atom_site_label
_atom_site_fract_x
_atom_site_fract_y
_atom_site_fract_z
_atom_site_occupancy
Zn1 0.0000 0.5000 0.2500 1
Ni1 0.0000 0.0000 0.2440 1
Ni2 0.2443 0.2443 0.0000 1
N1 0.0000 0.0000 0.5000 1
# * magnetization: 0.00 μB per formula unit
# * calculated volume: 97.7 Å³/f.u.
# * formation energy (no corrections): -182 meV per atom

=====

(10)
# PBE-GGA GeAsF2, optimized geometry
data_GeAsF2
_chemical_formula_sum 'Ge3 As3 F6'
_cell_length_a 2.9461
_cell_length_b 2.9461
_cell_length_c 24.2473
_cell_angle_alpha 90.00
_cell_angle_beta 90.00
_cell_angle_gamma 120.00
_symmetry_space_group_name_H-M 'R -3 m'
_symmetry_Int_Tables_number 166
_symmetry_space_group_name_Hall '-R 3 2"'
loop_
_atom_site_label
_atom_site_fract_x
_atom_site_fract_y
_atom_site_fract_z
_atom_site_occupancy
Ge1 0.0000 0.0000 0.0000 1
As1 0.0000 0.0000 0.5000 1
F1 0.0000 0.0000 0.4169 1
# * magnetization: 0.00 μB per formula unit
# * calculated volume: 60.8 Å³/f.u.
# * formation energy (no corrections): -1090 meV per atom
# * excess energy over the best structure of this formula in the dataset: 0.0 meV/atom

=====

Number 2 is which compound?
TlSbOs2